## FeNi2AgO (GGA+U)

Data for a relaxed FeNi2AgO crystal.

Output
DFT total energy: -16.2 eV for the cell shown

a b c (Å): 4.746 3.573 4.746
angles (deg): 90.00 90.00 90.00
Site moments in Bohr magnetons follow the coordinates.
Fractional positions:
1 Ni 0.500 0.000 0.000  1.02
2 O 0.000 0.500 0.000  0.06
3 Fe 0.000 0.000 0.000  3.29
4 Ag 0.500 0.500 0.500  0.00
5 Ni 0.000 0.000 0.500  1.08